No. 1
{
  "formula": "LiMgNi2",
  "functional": "meta-GGA SCAN",
  "state": "PBEsol geometry",
  "delta_e_f_ev_per_fu": 0.2,
  "lattice_angstrom": [[2.607, 0.000, 0.000], [0.000, 3.625, 0.000], [0.000, 0.000, 5.293]],
  "species": ["Li", "Mg", "Ni", "Ni"],
  "frac_coords": [[0.000, 0.000, 0.000], [0.500, 0.500, 0.297], [0.000, 0.000, 0.557], [0.500, 0.500, 0.776]]
}



No. 2
{
  "formula": "LiMg2Ni",
  "functional": "meta-GGA SCAN",
  "state": "PBEsol geometry",
  "delta_e_f_ev_per_fu": 0.0,
  "lattice_angstrom": [[-1.906, 1.906, 4.288], [1.906, -1.906, 4.288], [1.906, 1.906, -4.288]],
  "species": ["Li", "Mg", "Mg", "Ni"],
  "frac_coords": [[0.000, 0.000, 0.000], [0.500, 0.500, 0.000], [0.750, 0.250, 0.500], [0.250, 0.750, 0.500]]
}



No. 3
{
  "formula": "LiMg2Ni",
  "functional": "meta-GGA SCAN",
  "state": "PBEsol geometry",
  "delta_e_f_ev_per_fu": -0.4,
  "lattice_angstrom": [[0.000, 3.134, 3.134], [3.134, 0.000, 3.134], [3.134, 3.134, 0.000]],
  "species": ["Li", "Mg", "Mg", "Ni"],
  "frac_coords": [[0.000, 0.000, 0.000], [0.250, 0.250, 0.250], [0.750, 0.750, 0.750], [0.500, 0.500, 0.500]]
}



No. 4
{
  "formula": "LiMg3Ni",
  "functional": "meta-GGA SCAN",
  "state": "PBEsol geometry",
  "delta_e_f_ev_per_fu": 4.0,
  "lattice_angstrom": [[4.613, 0.000, 0.000], [0.000, 4.613, 0.000], [0.000, 0.000, 4.613]],
  "species": ["Li", "Mg", "Mg", "Mg", "Ni"],
  "frac_coords": [[0.000, 0.000, 0.000], [0.000, 0.000, 0.500], [0.000, 0.500, 0.000], [0.500, 0.000, 0.000], [0.500, 0.500, 0.500]]
}